Here is NaPd5 after structural relaxation from Alexandria via LeMat-Bulk. Energies are from GGA-PBE.

Calculated values
Energy of formation from the pure elements, eV per atom: 0.01

Unit cell a=4.697 b=14.517 c=2.860 alpha=90.00 beta=90.00 gamma=90.00
Space group Cmmm (No. 65)
One atom of each set of equivalent atoms:
Na: 0.000 0.000 0.000 [2 per cell]
Pd: 0.000 0.181 0.500 [4 per cell]
Pd: 0.000 0.343 0.000 [4 per cell]
Pd: 0.000 0.500 0.500 [2 per cell]